An optimized crystal structure of Pr2YUN4, computed with PBE.

```
Pr2YUN4
1.0
3.556 0.000 0.000
0.000 6.064 0.111
0.000 -2.117 5.847
Pr Y U N
2 1 1 4
Direct
0.500 0.000 0.500
0.000 0.500 0.500
0.500 0.500 0.000
0.000 0.000 0.000
0.500 0.221 0.208
0.500 0.779 0.792
0.000 0.236 0.788
0.000 0.764 0.212
```

Results
Formation energy without anion corrections = -11.73 eV per formula unit
Theoretical density = 8.70 g cm⁻³



An optimized crystal structure of ThBeHg, computed with PBE.

```
ThBeHg
1.0
3.913 0.000 0.000
0.000 4.215 0.000
0.000 2.108 8.082
Be Hg Th
2 2 2
Direct
0.750 0.468 0.064
0.250 0.532 0.936
0.750 0.300 0.401
0.250 0.700 0.599
0.750 0.093 0.815
0.250 0.907 0.185
```

Results
Theoretical density = 11.00 g cm⁻³
Formation energy from the elements = -11.2 kJ per mole of atoms



An optimized crystal structure of LiCrOs2, computed with PBE.

```
LiCrOs2
1.0
-2.189 1.307 -0.611
1.035 -1.496 -1.887
-5.029 -7.086 2.861
Cr Li Os
1 1 2
Direct
0.000 0.000 0.490
0.500 0.500 0.749
0.000 0.000 0.999
0.500 0.500 0.262
```

Results
Theoretical density = 12.97 g cm⁻³
Formation energy from the elements = 46.6 kJ per mole of atoms
Energy above the lowest structure with this stoichiometry = 375 meV per atom